First-principles (GGA-PBE) data for a geometry-optimized Sc8Tc2Os structure, as listed in Alexandria.

Results
DOS(E_F) in states/eV/f.u.: 9.01
Raw total energy in eV/atom: -7.746
Magnetic moment in μB per atom: 0.000

Cell and atoms, written as CIF:
```
data_Sc8Tc2Os
_chemical_formula_sum 'Sc16 Tc4 Os2'
_cell_length_a 15.9937
_cell_length_b 4.6128
_cell_length_c 6.4507
_cell_angle_alpha 90.00
_cell_angle_beta 109.79
_cell_angle_gamma 90.00
_symmetry_space_group_name_H-M 'C 1 2/m 1'
_symmetry_Int_Tables_number 12
loop_
_symmetry_equiv_pos_as_xyz
'x,y,z'
'-x,-y,-z'
'-x,y,-z'
'x,-y,z'
'x+1/2,y+1/2,z'
'-x+1/2,-y+1/2,-z'
'-x+1/2,y+1/2,-z'
'x+1/2,-y+1/2,z'
loop_
_atom_site_label
_atom_site_fract_x
_atom_site_fract_y
_atom_site_fract_z
Sc1 0.0238 0.0000 0.2870
Sc2 0.1008 0.5000 0.9429
Sc3 0.1637 0.5000 0.4512
Sc4 0.1972 0.0000 0.7939
Tc1 0.1789 0.0000 0.1869
Os1 0.0000 0.5000 0.5000
```

***

First-principles (GGA-PBE) data for a geometry-optimized ScTcOs structure, as listed in Alexandria.

Results
DOS(E_F) in states/eV/f.u.: 3.99
Raw total energy in eV/atom: -9.410
Magnetic moment in μB per atom: 0.000

Cell and atoms, written as CIF:
```
data_ScTcOs
_chemical_formula_sum 'Sc2 Tc2 Os2'
_cell_length_a 2.9464
_cell_length_b 2.9464
_cell_length_c 11.5324
_cell_angle_alpha 90.00
_cell_angle_beta 90.00
_cell_angle_gamma 90.00
_symmetry_space_group_name_H-M 'I 4 m m'
_symmetry_Int_Tables_number 107
_symmetry_space_group_name_Hall 'I 4 -2'
loop_
_atom_site_label
_atom_site_fract_x
_atom_site_fract_y
_atom_site_fract_z
Sc1 0.0000 0.0000 0.0000
Tc1 0.0000 0.0000 0.3115
Os1 0.0000 0.0000 0.6786
```